DFT (PBE-GGA) results for PmAg2Cl8 after structural relaxation.

Calculated values
total DFT energy (no corrections): -35.75 eV per cell

Cell: 6.9239 6.9239 7.8377 Å, 116.21 116.21 90.00°
Last column: nearest neighbours and their distance in Å.
Sites, in units of the cell vectors:
Pm 0.5000 0.5000 0.0000  8 Cl 2.85
Ag 0.7500 0.2500 0.5000  4 Cl 2.42
Ag 0.2500 0.7500 0.5000  4 Cl 2.42
Cl 0.7876 0.2986 0.2274  1 Ag 2.42
Cl 0.0712 0.5602 0.7726  1 Ag 2.42
Cl 0.7014 0.2124 0.7726  1 Ag 2.42
Cl 0.2124 0.0712 0.7726  1 Ag 2.42
Cl 0.4398 0.9288 0.2274  1 Ag 2.42
Cl 0.9288 0.7876 0.2274  1 Ag 2.42
Cl 0.2986 0.4398 0.2274  1 Ag 2.42
Cl 0.5602 0.7014 0.7726  1 Ag 2.42

DFT (PBE-GGA) results for FeAu after structural relaxation.

Calculated values
DFT formation energy: 0.87 eV/atom

Cell: 7.7642 7.7642 7.7642 Å, 90.00 90.00 90.00°
Last column: nearest neighbours and their distance in Å.
Sites, in units of the cell vectors:
Fe 0.1113 0.1113 0.1113  3 Fe 2.44, 4 Au 2.54-2.61
Fe 0.1113 0.8887 0.8887  3 Fe 2.44, 4 Au 2.54-2.61
Fe 0.8887 0.1113 0.8887  3 Fe 2.44, 4 Au 2.54-2.61
Fe 0.8887 0.8887 0.1113  3 Fe 2.44, 4 Au 2.54-2.61
Fe 0.6113 0.6113 0.6113  3 Fe 2.44, 4 Au 2.54-2.61
Fe 0.6113 0.3887 0.3887  3 Fe 2.44, 4 Au 2.54-2.61
Fe 0.3887 0.6113 0.3887  3 Fe 2.44, 4 Au 2.54-2.61
Fe 0.3887 0.3887 0.6113  3 Fe 2.44, 4 Au 2.54-2.61
Au 0.2999 0.2999 0.2999  4 Fe 2.54-2.61
Au 0.2999 0.7001 0.7001  4 Fe 2.54-2.61
Au 0.7001 0.2999 0.7001  4 Fe 2.54-2.61
Au 0.7001 0.7001 0.2999  4 Fe 2.54-2.61
Au 0.7999 0.7999 0.7999  4 Fe 2.54-2.61
Au 0.7999 0.2001 0.2001  4 Fe 2.54-2.61
Au 0.2001 0.7999 0.2001  4 Fe 2.54-2.61
Au 0.2001 0.2001 0.7999  4 Fe 2.54-2.61

DFT (PBE-GGA) results for Tl2HgRh after structural relaxation.

Calculated values
DFT formation energy: 0.28 eV/atom
distance to the lowest polymorph of the same formula: 228 meV/atom

Cell: 5.5412 5.5412 5.5412 Å, 133.67 133.67 67.60°
Last column: nearest neighbours and their distance in Å.
Sites, in units of the cell vectors:
Tl 0.0000 0.0000 0.0000  4 Hg 3.08, 4 Rh 3.17, 4 Tl 3.17
Tl 0.2500 0.7500 0.5000  4 Rh 3.08, 4 Hg 3.17, 4 Tl 3.17
Hg 0.5000 0.5000 0.0000  8 Tl 3.08-3.17, 4 Rh 3.17
Rh 0.7500 0.2500 0.5000  8 Tl 3.08-3.17, 4 Hg 3.17